First-principles (PBEsol) data for a geometry-optimized MgTcMo2 structure, as listed in Alexandria.

Values from the calculation:
The formation energy is 145 kJ/mol of formula units. The calculation puts the density of states at the Fermi level at 4.9 states/eV per cell. The calculation puts the raw total energy at -8.753 eV per atom.

Lattice parameters (Å, degrees): 3.2078 4.3056 4.3904 90.00 90.00 90.00
Last column: nearest neighbours and their distance in Å.
Space group Pmmm (No. 47)
Asymmetric unit:
Mg1 0.0000 0.0000 0.0000  4 Tc 2.68, 4 Mo 2.72
Tc1 0.5000 0.5000 0.0000  4 Mg 2.68, 4 Mo 2.72
Mo1 0.0000 0.5000 0.5000  4 Mo 2.68, 4 Tc 2.72
Mo2 0.5000 0.0000 0.5000  4 Mo 2.68, 4 Mg 2.72